A plane-wave DFT calculation with GGA-PBE was carried out for a geometry-optimized BeRuSN2 structure.

Unit cell a=3.3244 b=3.3244 c=5.3622 alpha=90.00 beta=90.00 gamma=90.00
Fractional positions:
Be 0.0000 0.0000 0.0000
N 0.0000 0.5000 0.0000
N 0.5000 0.0000 0.0000
S 0.0000 0.0000 0.5000
Ru 0.5000 0.5000 0.5000

* E: -27.7 eV/f.u.
* energy above the most stable polymorph in this dataset: 1.557 eV/f.u.
* formation energy from raw total energies: 1.223 eV/atom